(1)
VASP calculation (SCAN) on a crystal of KSe2Br relaxed with PBEsol.

## Properties
Energy above the most stable polymorph in this dataset = 255 kJ/mol of formula units
DFT total energy = -67.4 eV for the cell shown
Formation energy (no corrections) = 14 kJ per mole of atoms
Space group = No. 166
Total magnetic moment = 0.00 μB/f.u.

a = 3.0441 Å, b = 3.0441 Å, c = 12.8250 Å
α = 83.18°, β = 83.18°, γ = 60.00°
Fractional coordinates of all 4 atoms:
Br (0.5000, 0.5000, 0.5000)
K (0.0000, 0.0000, 0.0000)
Se (0.2633, 0.2633, 0.2100)
Se (0.7367, 0.7367, 0.7900)

(2)
VASP calculation (SCAN) on a crystal of Y2FeRu relaxed with PBEsol.

## Properties
DFT total energy = -108.7 eV for the cell shown
Formation enthalpy at 0 K = -0.009 eV per atom
Space group = No. 99
Total magnetic moment = 3.21 μB/f.u.

a = 3.1924 Å, b = 3.1924 Å, c = 8.0429 Å
α = 90.00°, β = 90.00°, γ = 90.00°
Fractional coordinates of all 4 atoms:
Fe (0.0000, 0.0000, 0.5529)
Ru (0.5000, 0.5000, 0.7019)
Y (0.0000, 0.0000, 0.9283)
Y (0.5000, 0.5000, 0.3169)

(3)
VASP calculation (SCAN) on a crystal of TaRhAu2 relaxed with PBEsol.

## Properties
Energy above the most stable polymorph in this dataset = 0 kJ/mol of formula units
DFT total energy = -239.8 eV for the cell shown
Formation enthalpy at 0 K = -0.295 eV per atom
Space group = No. 119
Total magnetic moment = 0.00 μB/f.u.

a = 3.9621 Å, b = 3.9617 Å, c = 4.9018 Å
α = 113.85°, β = 113.85°, γ = 89.95°
Fractional coordinates of all 4 atoms:
Au (0.0000, 0.0000, 0.0001)
Au (0.7500, 0.2500, 0.5000)
Rh (0.4999, 0.5000, 0.9999)
Ta (0.2500, 0.7500, 0.5000)

(4)
VASP calculation (SCAN) on a crystal of Sc5Mn relaxed with PBEsol.

## Properties
Energy above the most stable polymorph in this dataset = 0 kJ/mol of formula units
DFT total energy = -89.6 eV for the cell shown
Formation enthalpy at 0 K = -0.021 eV per atom
Space group = No. 189
Total magnetic moment = 0.43 μB/f.u.

a = 4.8480 Å, b = 5.4861 Å, c = 5.4861 Å
α = 120.00°, β = 90.00°, γ = 90.00°
Fractional coordinates of all 6 atoms:
Mn (0.5000, 0.0000, 0.0000)
Sc (0.0000, 0.3115, 0.3115)
Sc (0.0000, 0.6885, 0.0000)
Sc (0.0000, 0.0000, 0.6885)
Sc (0.5000, 0.3333, 0.6667)
Sc (0.5000, 0.6667, 0.3333)

(5)
VASP calculation (SCAN) on a crystal of KNi3Os relaxed with PBEsol.

## Properties
DFT total energy = -115.4 eV for the cell shown
Formation enthalpy at 0 K = 2.669 eV per atom
Space group = No. 221
Total magnetic moment = 3.66 μB/f.u.

a = 4.2128 Å, b = 4.2128 Å, c = 4.2128 Å
α = 90.00°, β = 90.00°, γ = 90.00°
Fractional coordinates of all 5 atoms:
Ni (0.0000, 0.5000, 0.0000)
Ni (0.0000, 0.0000, 0.5000)
Ni (0.5000, 0.0000, 0.0000)
K (0.0000, 0.0000, 0.0000)
Os (0.5000, 0.5000, 0.5000)

(6)
VASP calculation (SCAN) on a crystal of ZrMoCl3 relaxed with PBEsol.

## Properties
DFT total energy = -91.2 eV for the cell shown
Formation energy (no corrections) = -32 kJ per mole of atoms
Space group = No. 221
Total magnetic moment = 5.36 μB/f.u.

a = 4.9714 Å, b = 4.9714 Å, c = 4.9714 Å
α = 90.00°, β = 90.00°, γ = 90.00°
Fractional coordinates of all 5 atoms:
Mo (0.5000, 0.5000, 0.5000)
Zr (0.0000, 0.0000, 0.0000)
Cl (0.0000, 0.5000, 0.0000)
Cl (0.0000, 0.0000, 0.5000)
Cl (0.5000, 0.0000, 0.0000)

(7)
VASP calculation (SCAN) on a crystal of Li3Co relaxed with PBEsol.

## Properties
DFT total energy = -23.7 eV for the cell shown
Formation enthalpy at 0 K = 0.185 eV per atom
Space group = No. 65
Total magnetic moment = 1.52 μB/f.u.

a = 2.4945 Å, b = 2.4945 Å, c = 9.2061 Å
α = 90.00°, β = 90.00°, γ = 109.37°
Fractional coordinates of all 4 atoms:
Co (0.0000, 0.0000, 0.0000)
Li (0.5000, 0.5000, 0.7792)
Li (0.0000, 0.0000, 0.5000)
Li (0.5000, 0.5000, 0.2208)

(8)
VASP calculation (SCAN) on a crystal of ScTlCo2 relaxed with PBEsol.

## Properties
DFT total energy = -121.0 eV for the cell shown
Formation enthalpy at 0 K = 0.048 eV per atom
Space group = No. 160
Total magnetic moment = 2.18 μB/f.u.

a = 3.8224 Å, b = 3.8224 Å, c = 5.8616 Å
α = 70.97°, β = 70.97°, γ = 60.00°
Fractional coordinates of all 4 atoms:
Co (0.9568, 0.9568, 0.1296)
Co (0.2902, 0.2902, 0.1295)
Sc (0.5273, 0.5273, 0.4181)
Tl (0.7257, 0.7257, 0.8228)

(9)
VASP calculation (SCAN) on a crystal of Zr2InMo relaxed with PBEsol.

## Properties
DFT total energy = -130.7 eV for the cell shown
Formation enthalpy at 0 K = -0.248 eV per atom
Space group = No. 123
Total magnetic moment = 0.00 μB/f.u.

a = 3.6490 Å, b = 4.6202 Å, c = 4.6202 Å
α = 90.00°, β = 90.00°, γ = 90.00°
Fractional coordinates of all 4 atoms:
In (0.5000, 0.5000, 0.5000)
Mo (0.5000, 0.0000, 0.0000)
Zr (0.0000, 0.0000, 0.5000)
Zr (0.0000, 0.5000, 0.0000)

(10)
VASP calculation (SCAN) on a crystal of Li2Be3 relaxed with PBEsol.

## Properties
DFT total energy = -14.1 eV for the cell shown
Formation enthalpy at 0 K = 0.742 eV per atom
Space group = No. 164
Total magnetic moment = 0.00 μB/f.u.

a = 3.8241 Å, b = 3.8241 Å, c = 4.6689 Å
α = 90.00°, β = 90.00°, γ = 120.00°
Fractional coordinates of all 5 atoms:
Be (0.0000, 0.0000, 0.0000)
Be (0.3333, 0.6667, 0.3490)
Be (0.6667, 0.3333, 0.6510)
Li (0.3333, 0.6667, 0.8427)
Li (0.6667, 0.3333, 0.1573)

(11)
VASP calculation (SCAN) on a crystal of AlZn2Os relaxed with PBEsol.

## Properties
DFT total energy = -105.7 eV for the cell shown
Formation enthalpy at 0 K = 0.246 eV per atom
Space group = No. 65
Total magnetic moment = 0.00 μB/f.u.

a = 2.6982 Å, b = 2.6982 Å, c = 9.2796 Å
α = 90.00°, β = 90.00°, γ = 119.39°
Fractional coordinates of all 4 atoms:
Zn (0.0000, 0.0000, 0.2398)
Zn (0.0000, 0.0000, 0.7602)
Os (0.5000, 0.5000, 0.0000)
Al (0.5000, 0.5000, 0.5000)

(12)
VASP calculation (SCAN) on a crystal of PRu3S relaxed with PBEsol.

## Properties
DFT total energy = -120.1 eV for the cell shown
Formation energy (no corrections) = 85 kJ per mole of atoms
Space group = No. 221
Total magnetic moment = 0.00 μB/f.u.

a = 4.3006 Å, b = 4.3006 Å, c = 4.3006 Å
α = 90.00°, β = 90.00°, γ = 90.00°
Fractional coordinates of all 5 atoms:
Ru (0.0000, 0.5000, 0.0000)
Ru (0.0000, 0.0000, 0.5000)
Ru (0.5000, 0.0000, 0.0000)
S (0.5000, 0.5000, 0.5000)
P (0.0000, 0.0000, 0.0000)